DFT (PBE) results for an optimized crystal structure of Mn4Os3.

The calculated volume comes out at 91 Å³/cell. The value obtained for the formation energy is 1.07 eV per formula unit. Its energy relative to the lowest polymorph listed for this composition is 136 meV per atom.

a b c (Å): 11.881 11.881 11.881
angles (deg): 166.55 166.55 19.07
Element x y z (fractional)
1 Os 0.000 0.000 0.000
2 Os 0.293 0.293 0.000
3 Mn 0.571 0.571 0.000
4 Os 0.707 0.707 0.000
5 Mn 0.861 0.861 0.000
6 Mn 0.429 0.429 0.000
7 Mn 0.139 0.139 0.000

DFT (PBE) results for an optimized crystal structure of MgTeS3.

The calculated volume comes out at 126 Å³/cell. The formation energy from raw total energies is 225 meV/atom. Its energy relative to the lowest polymorph listed for this composition is 0 meV per atom.

a b c (Å): 5.016 5.016 5.016
angles (deg): 90.00 90.00 90.00
Element x y z (fractional)
1 S 0.000 0.000 0.500
2 Te 0.000 0.000 0.000
3 S 0.000 0.500 0.000
4 S 0.500 0.000 0.000
5 Mg 0.500 0.500 0.500

DFT (PBE) results for an optimized crystal structure of K2Tl2Sb.

The calculated volume comes out at 379 Å³/cell. The formation energy from raw total energies is -168 meV/atom. Its energy relative to the lowest polymorph listed for this composition is 66 meV per atom.

a b c (Å): 8.214 8.214 5.613
angles (deg): 90.00 90.00 90.00
Element x y z (fractional)
1 K 0.317 0.183 0.500
2 K 0.683 0.817 0.500
3 Tl 0.632 0.132 0.000
4 Tl 0.132 0.368 0.000
5 Sb 0.000 0.000 0.000
6 K 0.183 0.683 0.500
7 Tl 0.868 0.632 0.000
8 K 0.817 0.317 0.500
9 Tl 0.368 0.868 0.000
10 Sb 0.500 0.500 0.000

Question: What is the formula in the first record?
Answer: Mn4Os3

Question: The lowest energy relative to the lowest polymorph listed for this composition belongs to which entry?
Answer: MgTeS3